This record from Alexandria via LeMat-Bulk describes an optimized crystal structure of BaCoSe2. The functional is PBE.

Geometry as POSCAR:
```
BaCoSe2
1.0
0.000 3.683 3.683
3.683 0.000 3.683
3.683 3.683 0.000
Ba Co Se
1 1 2
Direct
0.000 0.000 0.000
0.750 0.750 0.750
0.250 0.250 0.250
0.500 0.500 0.500
```

Calculated values
- E_tot (eV for the cell shown) = -15.62
- SG = F-43m, No. 216
- total magnetic moment (μB per formula unit) = 2.6
- energy relative to the elements, uncorrected (eV per atom) = 0.093